# La6CeSmEr2 PBE optimized geometry
data_La6CeSmEr2
_space_group_name_H-M_alt 'C 1 2/m 1'
_space_group_IT_number 12
_space_group_name_Hall '-C 2y'
_cell_length_a 12.248
_cell_length_b 6.853
_cell_length_c 9.014
_cell_angle_alpha 90.00
_cell_angle_beta 110.22
_cell_angle_gamma 90.00
loop_
_atom_site_label
_atom_site_type_symbol
_atom_site_fract_x
_atom_site_fract_y
_atom_site_fract_z
La1 La 0.147 0.240 0.310
La2 La 0.165 0.000 0.918
Ce1 Ce 0.000 0.000 0.500
Sm1 Sm 0.000 0.500 0.000
Er1 Er 0.102 0.500 0.679
# * formation energy: 222 meV per atom
# * total magnetization: 0.96 μB/f.u.


# LaTbCeEr PBE optimized geometry
data_LaTbCeEr
_space_group_name_H-M_alt 'F -4 3 m'
_space_group_IT_number 216
_space_group_name_Hall 'F -4 2 3'
_cell_length_a 8.088
_cell_length_b 8.088
_cell_length_c 8.088
_cell_angle_alpha 90.00
_cell_angle_beta 90.00
_cell_angle_gamma 90.00
loop_
_atom_site_label
_atom_site_type_symbol
_atom_site_fract_x
_atom_site_fract_y
_atom_site_fract_z
La1 La 0.000 0.000 0.000
Tb1 Tb 0.250 0.250 0.250
Ce1 Ce 0.000 0.000 0.500
Er1 Er 0.250 0.250 0.750
# * formation energy: 161 meV per atom
# * total magnetization: 0.69 μB/f.u.


# LaTb6Ce2Er3 PBE optimized geometry
data_LaTb6Ce2Er3
_space_group_name_H-M_alt 'C 1 2/m 1'
_space_group_IT_number 12
_space_group_name_Hall '-C 2y'
_cell_length_a 6.148
_cell_length_b 10.654
_cell_length_c 11.784
_cell_angle_alpha 90.00
_cell_angle_beta 100.04
_cell_angle_gamma 90.00
loop_
_atom_site_label
_atom_site_type_symbol
_atom_site_fract_x
_atom_site_fract_y
_atom_site_fract_z
La1 La 0.000 0.000 0.000
Tb1 Tb 0.247 0.332 0.748
Tb2 Tb 0.248 0.500 0.252
Ce1 Ce 0.000 0.333 0.000
Er1 Er 0.000 0.167 0.500
Er2 Er 0.000 0.500 0.500
# * formation energy: 52 meV per atom
# * total magnetization: 1.82 μB/f.u.


# LaTb2CeEr4 PBE optimized geometry
data_LaTb2CeEr4
_space_group_name_H-M_alt 'P m m m'
_space_group_IT_number 47
_space_group_name_Hall '-P 2 2'
_cell_length_a 5.056
_cell_length_b 5.079
_cell_length_c 9.907
_cell_angle_alpha 90.00
_cell_angle_beta 90.00
_cell_angle_gamma 90.00
loop_
_atom_site_label
_atom_site_type_symbol
_atom_site_fract_x
_atom_site_fract_y
_atom_site_fract_z
La1 La 0.000 0.000 0.000
Tb1 Tb 0.000 0.000 0.500
Tb2 Tb 0.500 0.500 0.000
Ce1 Ce 0.500 0.500 0.500
Er1 Er 0.000 0.500 0.256
Er2 Er 0.500 0.000 0.256
# * formation energy: 54 meV per atom
# * total magnetization: 0.95 μB/f.u.


- Which of these has the highest total magnetization?
  LaTb6Ce2Er3


- formation energy of number 4 (LaTb2CeEr4)?
  54 meV per atom


- Number 3 is which compound?
  LaTb6Ce2Er3


- The highest total magnetization belongs to which entry?
  LaTb6Ce2Er3